1) ## LiCa2 (PBE)

Data for crystalline LiCa2 at its relaxed geometry.

It has space group I4_1/amd (No. 141, origin choice 2), with a = 3.789 Å, b = 3.789 Å, c = 29.939 Å, α = 90.00°, β = 90.00° and γ = 90.00°. The asymmetric unit holds Li at (0.000, 0.250, 0.375) and Ca at (0.000, 0.250, 0.806).

***

2) ## LiCa2 (PBE)

Data for crystalline LiCa2 at its relaxed geometry.

It has space group C2/m (No. 12), with a = 12.859 Å, b = 3.880 Å, c = 9.066 Å, α = 90.00°, β = 111.91° and γ = 90.00°. The asymmetric unit holds Li at (0.190, 0.000, 0.063), Ca at (0.017, 0.500, 0.212) and Ca at (0.165, 0.000, 0.607).

***

3) ## LiCa2 (PBE)

Data for crystalline LiCa2 at its relaxed geometry.

It has space group Cmcm (No. 63), with a = 3.754 Å, b = 18.859 Å, c = 6.126 Å, α = 90.00°, β = 90.00° and γ = 90.00°. The asymmetric unit holds Li at (0.000, 0.218, 0.250), Ca at (0.000, 0.129, 0.750) and Ca at (0.000, 0.443, 0.750).

***

In terms of stability, 2) leads; the second structure lies 62 meV per atom higher.

***

1) ## LiCa2 (PBE)

Data for crystalline LiCa2 at its relaxed geometry.

It has space group Cmcm (No. 63), with a = 4.024 Å, b = 17.785 Å, c = 5.911 Å, α = 90.00°, β = 90.00° and γ = 90.00°. The asymmetric unit holds Li at (0.000, 0.074, 0.250), Ca at (0.000, 0.272, 0.750) and Ca at (0.000, 0.419, 0.250).

***

2) ## LiCa2 (PBE)

Data for crystalline LiCa2 at its relaxed geometry.

It has space group P-3m1 (No. 164), with a = 3.8231 Å, b = 3.8231 Å, c = 8.6382 Å, α = 90.00°, β = 90.00° and γ = 120.00°. The asymmetric unit holds Li at (0.0000, 0.0000, 0.0000) and Ca at (0.3333, 0.6667, 0.3151).

***

3) ## LiCa2 (PBE)

Data for crystalline LiCa2 at its relaxed geometry.

It has space group P4/mmm (No. 123), with a = 3.962 Å, b = 3.962 Å, c = 13.347 Å, α = 90.00°, β = 90.00° and γ = 90.00°. The asymmetric unit holds Li at (0.000, 0.000, 0.150), Ca at (0.000, 0.000, 0.500), Ca at (0.500, 0.500, 0.000) and Ca at (0.500, 0.500, 0.297).

***

4) ## LiCa2 (PBE)

Data for crystalline LiCa2 at its relaxed geometry.

It has space group Pm (No. 6), with a = 5.577 Å, b = 3.755 Å, c = 5.859 Å, α = 90.00°, β = 118.05° and γ = 90.00°. The asymmetric unit holds Li at (0.000, 0.000, 0.000), Ca at (0.328, 0.000, 0.655) and Ca at (0.654, 0.500, 0.307).

***

In terms of stability, 3) leads; the second structure lies 21 meV per atom higher.

***

1) ## LiCa2 (PBE)

Data for crystalline LiCa2 at its relaxed geometry.

It has space group C2/m (No. 12), with a = 5.613 Å, b = 5.619 Å, c = 7.215 Å, α = 90.00°, β = 112.71° and γ = 90.00°. The asymmetric unit holds Li at (0.000, 0.000, 0.000) and Ca at (0.148, 0.500, 0.296).

***

2) ## LiCa2 (PBE)

Data for crystalline LiCa2 at its relaxed geometry.

It has space group Fm-3m (No. 225), with a = 7.775 Å, b = 7.775 Å, c = 7.775 Å, α = 90.00°, β = 90.00° and γ = 90.00°. The asymmetric unit holds Li at (0.000, 0.000, 0.000) and Ca at (0.250, 0.250, 0.250).

***

In terms of stability, 1) leads; the second structure lies 204 meV per atom higher.

***

1) ## Li3Ca2 (PBE)

Data for crystalline Li3Ca2 at its relaxed geometry.

It has space group Cmce (No. 64), with a = 5.947 Å, b = 11.230 Å, c = 8.779 Å, α = 90.00°, β = 90.00° and γ = 90.00°. The asymmetric unit holds Li at (0.000, 0.000, 0.000), Li at (0.250, 0.093, 0.250) and Ca at (0.000, 0.162, 0.599).

***

2) ## Li3Ca2 (PBE)

Data for crystalline Li3Ca2 at its relaxed geometry.

It has space group Fdd2 (No. 43), with a = 11.128 Å, b = 16.331 Å, c = 6.429 Å, α = 90.00°, β = 90.00° and γ = 90.00°. The asymmetric unit holds Li at (0.000, 0.000, 0.000), Li at (0.073, 0.118, 0.311) and Ca at (0.078, 0.199, 0.809).

***

In terms of stability, 2) leads; the second structure lies 16 meV per atom higher.

***

1) ## Li3Ca (PBE)

Data for crystalline Li3Ca at its relaxed geometry.

It has space group Pmm2 (No. 25), with a = 3.557 Å, b = 5.284 Å, c = 5.703 Å, α = 90.00°, β = 90.00° and γ = 90.00°. The asymmetric unit holds Li at (0.000, 0.000, 0.000), Li at (0.000, 0.500, 0.313), Li at (0.500, 0.500, 0.877) and Ca at (0.500, 0.000, 0.499).

***

2) ## Li3Ca (PBE)

Data for crystalline Li3Ca at its relaxed geometry.

It has space group Fm-3m (No. 225), with a = 7.486 Å, b = 7.486 Å, c = 7.486 Å, α = 90.00°, β = 90.00° and γ = 90.00°. The asymmetric unit holds Li at (0.000, 0.000, 0.000), Li at (0.250, 0.250, 0.250) and Ca at (0.000, 0.000, 0.500).

***

In terms of stability, 2) leads; the second structure lies 29 meV per atom higher.

***

1) ## Li3Ca (PBE)

Data for crystalline Li3Ca at its relaxed geometry.

It has space group P-6m2 (No. 187), with a = 3.5676 Å, b = 3.5676 Å, c = 10.0194 Å, α = 90.00°, β = 90.00° and γ = 120.00°. The asymmetric unit holds Li at (0.0000, 0.0000, 0.0000), Li at (0.6667, 0.3333, 0.2222) and Ca at (0.0000, 0.0000, 0.5000).

***

2) ## Li3Ca (PBE)

Data for crystalline Li3Ca at its relaxed geometry.

It has space group P6_3/mmc (No. 194), with a = 6.7567 Å, b = 6.7567 Å, c = 16.0188 Å, α = 90.00°, β = 90.00° and γ = 120.00°. The asymmetric unit holds Li at (0.0514, 0.5257, 0.2500), Li at (0.1735, 0.3470, 0.0766), Ca at (0.0000, 0.0000, 0.2500) and Ca at (0.3333, 0.6667, 0.6019).

***

In terms of stability, 2) leads; the second structure lies 55 meV per atom higher.

***

1) ## Li4Ca (PBE)

Data for crystalline Li4Ca at its relaxed geometry.

It has space group Pm-3m (No. 221), with a = 5.718 Å, b = 5.718 Å, c = 5.718 Å, α = 90.00°, β = 90.00° and γ = 90.00°. The asymmetric unit holds Li at (0.000, 0.000, 0.000), Li at (0.000, 0.500, 0.500) and Ca at (0.500, 0.500, 0.500).

***

2) ## Li4Ca (PBE)

Data for crystalline Li4Ca at its relaxed geometry.

It has space group C2/m (No. 12), with a = 6.347 Å, b = 6.369 Å, c = 6.980 Å, α = 90.00°, β = 116.93° and γ = 90.00°. The asymmetric unit holds Li at (0.000, 0.249, 0.000), Li at (0.109, 0.500, 0.720) and Ca at (0.000, 0.000, 0.500).

***

In terms of stability, 2) leads; the second structure lies 600 meV per atom higher.

***

1) ## Li5Ca (PBE)

Data for crystalline Li5Ca at its relaxed geometry.

It has space group Amm2 (No. 38), with a = 5.047 Å, b = 3.996 Å, c = 14.587 Å, α = 90.00°, β = 90.00° and γ = 90.00°. The asymmetric unit holds Li at (0.000, 0.000, 0.000), Li at (0.000, 0.000, 0.328), Li at (0.000, 0.000, 0.658), Li at (0.500, 0.000, 0.150), Li at (0.500, 0.000, 0.510) and Ca at (0.500, 0.000, 0.830).

***

2) ## Li5Ca (PBE)

Data for crystalline Li5Ca at its relaxed geometry.

It has space group C2/m (No. 12), with a = 11.521 Å, b = 3.801 Å, c = 6.905 Å, α = 90.00°, β = 106.95° and γ = 90.00°. The asymmetric unit holds Li at (0.000, 0.000, 0.000), Li at (0.171, 0.500, 0.872), Li at (0.187, 0.500, 0.313) and Ca at (0.000, 0.000, 0.500).

***

3) ## Li5Ca (PBE)

Data for crystalline Li5Ca at its relaxed geometry.

It has space group Cmmm (No. 65), with a = 5.108 Å, b = 11.922 Å, c = 4.754 Å, α = 90.00°, β = 90.00° and γ = 90.00°. The asymmetric unit holds Li at (0.000, 0.000, 0.000), Li at (0.000, 0.177, 0.500), Li at (0.000, 0.307, 0.000) and Ca at (0.000, 0.500, 0.500).

***

In terms of stability, 2) leads; the second structure lies 12 meV per atom higher.

***

1) ## Li2Ca3 (PBE)

Data for crystalline Li2Ca3 at its relaxed geometry.

It has space group Immm (No. 71), with a = 5.214 Å, b = 6.782 Å, c = 9.629 Å, α = 90.00°, β = 90.00° and γ = 90.00°. The asymmetric unit holds Li at (0.000, 0.203, 0.000), Ca at (0.000, 0.000, 0.500) and Ca at (0.000, 0.500, 0.295).

***

2) ## Li2Ca3 (PBE)

Data for crystalline Li2Ca3 at its relaxed geometry.

It has space group R-3c (No. 167, hexagonal axes), with a = 7.4100 Å, b = 7.4100 Å, c = 22.0836 Å, α = 90.00°, β = 90.00° and γ = 120.00°. The asymmetric unit holds Li at (0.0000, 0.0000, 0.1918) and Ca at (0.0000, 0.4408, 0.2500).

***

3) ## Li2Ca3 (PBE)

Data for crystalline Li2Ca3 at its relaxed geometry.

It has space group P4/mmm (No. 123), with a = 3.978 Å, b = 3.978 Å, c = 21.123 Å, α = 90.00°, β = 90.00° and γ = 90.00°. The asymmetric unit holds Li at (0.000, 0.000, 0.094), Li at (0.000, 0.000, 0.281), Ca at (0.000, 0.000, 0.500), Ca at (0.500, 0.500, 0.000), Ca at (0.500, 0.500, 0.187) and Ca at (0.500, 0.500, 0.373).

***

In terms of stability, 3) leads; the second structure lies 22 meV per atom higher.

***

1) ## Li2CaLu (PBE)

Data for crystalline Li2CaLu at its relaxed geometry.

It has space group P4/mmm (No. 123), with a = 3.743 Å, b = 3.743 Å, c = 7.728 Å, α = 90.00°, β = 90.00° and γ = 90.00°. The asymmetric unit holds Li at (0.000, 0.000, 0.231), Ca at (0.500, 0.500, 0.500) and Lu at (0.500, 0.500, 0.000).

***

2) ## Li2CaLu (PBE)

Data for crystalline Li2CaLu at its relaxed geometry.

It has space group Fm-3m (No. 225), with a = 7.560 Å, b = 7.560 Å, c = 7.560 Å, α = 90.00°, β = 90.00° and γ = 90.00°. The asymmetric unit holds Li at (0.250, 0.250, 0.250), Ca at (0.000, 0.000, 0.000) and Lu at (0.000, 0.000, 0.500).

***

In terms of stability, 1) leads; the second structure lies 40 meV per atom higher.

***

1) ## LiCaLu2 (PBE)

Data for crystalline LiCaLu2 at its relaxed geometry.

It has space group P4/mmm (No. 123), with a = 3.605 Å, b = 3.605 Å, c = 9.045 Å, α = 90.00°, β = 90.00° and γ = 90.00°. The asymmetric unit holds Li at (0.000, 0.000, 0.000), Ca at (0.000, 0.000, 0.500) and Lu at (0.500, 0.500, 0.197).

***

2) ## LiCaLu2 (PBE)

Data for crystalline LiCaLu2 at its relaxed geometry.

It has space group R-3m (No. 166, hexagonal axes), with a = 3.4200 Å, b = 3.4200 Å, c = 35.5918 Å, α = 90.00°, β = 90.00° and γ = 120.00°. The asymmetric unit holds Li at (0.0000, 0.0000, 0.0000), Ca at (0.0000, 0.0000, 0.5000) and Lu at (0.0000, 0.0000, 0.4074).

***

In terms of stability, 1) leads; the second structure lies 138 meV per atom higher.